PBE-GGA Sr8SbIr2, relaxed; total magnetic moment = 0.00 μB/f.u.; DOS(E_F) = 8.6 states/eV per cell; calculated volume = 461.5 Å³/cell; energy relative to the elements, uncorrected = -0.22 eV/atom
1.0
6.0850 0.0000 0.0000
-1.0947 8.6228 0.0000
-0.5899 -3.6593 8.7959
Sr Sb Ir
8 1 2
direct
0.1638 0.2455 0.1718
0.2560 0.4364 0.6198
0.2600 0.6985 0.1295
0.2881 0.9275 0.6182
0.7119 0.0725 0.3818
0.7400 0.3015 0.8705
0.7440 0.5636 0.3802
0.8362 0.7545 0.8282
0.5000 0.0000 0.0000
0.2539 0.5984 0.3832
0.7461 0.4016 0.6168